1) FeAsRh3 PBE-GGA relaxed; symmetry = Pm-3m (221); total magnetic moment = 3.05 μB per formula unit
1.0
4.4740 0.0000 0.0000
0.0000 4.4740 0.0000
0.0000 0.0000 4.4740
Fe As Rh
1 1 3
Direct
0.0000 0.0000 0.0000
0.5000 0.5000 0.5000
0.0000 0.0000 0.5000
0.0000 0.5000 0.0000
0.5000 0.0000 0.0000

***

2) FeAsRh3 PBE-GGA relaxed; symmetry = Pm-3m (221); total magnetic moment = 4.10 μB per formula unit
1.0
4.5022 0.0000 0.0000
0.0000 4.5022 0.0000
0.0000 0.0000 4.5022
Fe As Rh
1 1 3
Direct
0.0000 0.0000 0.0000
0.5000 0.5000 0.5000
0.0000 0.5000 0.5000
0.5000 0.0000 0.5000
0.5000 0.5000 0.0000

***

Stability check: which of them is least stable? 1).

***

1) FeAs2Ru PBE-GGA relaxed; symmetry = F-43m (216); total magnetic moment = 3.83 μB per formula unit
1.0
0.0000 3.1191 3.1191
3.1191 0.0000 3.1191
3.1191 3.1191 0.0000
Fe As Ru
1 2 1
Direct
0.0000 0.0000 0.0000
0.2500 0.2500 0.2500
0.5000 0.5000 0.5000
0.7500 0.7500 0.7500

***

2) FeAs2Ru PBE-GGA relaxed; symmetry = Fm-3m (225); total magnetic moment = 1.99 μB per formula unit
1.0
0.0000 3.0406 3.0406
3.0406 0.0000 3.0406
3.0406 3.0406 0.0000
Fe As Ru
1 2 1
Direct
0.0000 0.0000 0.0000
0.2500 0.2500 0.2500
0.7500 0.7500 0.7500
0.5000 0.5000 0.5000

***

3) FeAs2Ru PBE-GGA relaxed; symmetry = Cm (8); total magnetic moment = 0.86 μB per formula unit
1.0
4.0370 -1.5581 0.0000
4.0370 1.5581 0.0000
-1.1997 0.0000 4.7596
Fe As Ru
1 2 1
Direct
0.0000 0.0000 0.0000
0.2888 0.2888 0.0340
0.5196 0.5196 0.6198
0.7772 0.7772 0.4220

***

Stability check: which of them is least stable? 1).

***

1) FeAs2Ru PBE-GGA relaxed; symmetry = Pmmm (47); total magnetic moment = 2.26 μB per formula unit
1.0
3.0453 0.0000 0.0000
0.0000 3.9170 0.0000
0.0000 0.0000 5.0990
Fe As Ru
1 2 1
Direct
0.0000 0.0000 0.0000
0.0000 0.5000 0.5000
0.5000 0.5000 0.0000
0.5000 0.0000 0.5000

***

2) FeAs2Ru PBE-GGA relaxed; symmetry = P4/mmm (123); total magnetic moment = 1.23 μB per formula unit
1.0
3.0303 0.0000 0.0000
0.0000 3.0303 0.0000
0.0000 0.0000 6.0264
Fe As Ru
1 2 1
Direct
0.0000 0.0000 0.0000
0.5000 0.5000 0.2374
0.5000 0.5000 0.7626
0.0000 0.0000 0.5000

***

Stability check: which of them is least stable? 1).

***

1) FeAs2Ru PBE-GGA relaxed; symmetry = I-42d (122); total magnetic moment = 0.00 μB per formula unit
1.0
-2.6836 2.6836 5.3388
2.6836 -2.6836 5.3388
2.6836 2.6836 -5.3388
Fe As Ru
2 4 2
Direct
0.0000 0.0000 0.0000
0.7500 0.2500 0.5000
0.1069 0.6250 0.9819
0.3750 0.3569 0.4819
0.6431 0.1250 0.0181
0.8750 0.8931 0.5181
0.2500 0.7500 0.5000
0.5000 0.5000 0.0000

***

2) FeAs2Ru PBE-GGA relaxed; symmetry = R-3m (166); total magnetic moment = 1.11 μB per formula unit
1.0
1.4888 0.8596 7.4047
-1.4888 0.8596 7.4047
0.0000 -1.7191 7.4047
Fe As Ru
1 2 1
Direct
0.0000 0.0000 0.0000
0.2529 0.2529 0.2529
0.7471 0.7471 0.7471
0.5000 0.5000 0.5000

***

Stability check: which of them is least stable? 1).

***

1) FeAs3S PBE-GGA relaxed; symmetry = Pm-3m (221); total magnetic moment = 0.88 μB per formula unit
1.0
4.5563 0.0000 0.0000
0.0000 4.5563 0.0000
0.0000 0.0000 4.5563
Fe As S
1 3 1
Direct
0.0000 0.0000 0.0000
0.0000 0.0000 0.5000
0.0000 0.5000 0.0000
0.5000 0.0000 0.0000
0.5000 0.5000 0.5000

***

2) FeAs3S PBE-GGA relaxed; symmetry = Pm-3m (221); total magnetic moment = 3.02 μB per formula unit
1.0
4.7461 0.0000 0.0000
0.0000 4.7461 0.0000
0.0000 0.0000 4.7461
Fe As S
1 3 1
Direct
0.0000 0.0000 0.0000
0.0000 0.5000 0.5000
0.5000 0.0000 0.5000
0.5000 0.5000 0.0000
0.5000 0.5000 0.5000

***

Stability check: which of them is least stable? 2).

***

1) Fe2As2S PBE-GGA relaxed; symmetry = I4/mmm (139); total magnetic moment = 0.81 μB per formula unit
1.0
-2.0390 2.0390 4.6323
2.0390 -2.0390 4.6323
2.0390 2.0390 -4.6323
Fe As S
2 2 1
Direct
0.2500 0.7500 0.5000
0.7500 0.2500 0.5000
0.1316 0.1316 0.0000
0.8684 0.8684 0.0000
0.5000 0.5000 0.0000

***

2) Fe2As2S PBE-GGA relaxed; symmetry = P4/mbm (127); total magnetic moment = 0.00 μB per formula unit
1.0
7.1694 0.0000 0.0000
0.0000 7.1694 0.0000
0.0000 0.0000 2.7500
Fe As S
4 4 2
Direct
0.1385 0.3615 0.0000
0.3615 0.8615 0.0000
0.6385 0.1385 0.0000
0.8615 0.6385 0.0000
0.1492 0.6492 0.5000
0.3508 0.1492 0.5000
0.6492 0.8508 0.5000
0.8508 0.3508 0.5000
0.0000 0.0000 0.5000
0.5000 0.5000 0.5000

***

Stability check: which of them is least stable? 2).

***

1) FeAs2S2 PBE-GGA relaxed; symmetry = I4/mmm (139); total magnetic moment = 2.98 μB per formula unit
1.0
-2.5606 2.5606 3.8601
2.5606 -2.5606 3.8601
2.5606 2.5606 -3.8601
Fe As S
1 2 2
Direct
0.0000 0.0000 0.0000
0.3116 0.3116 0.0000
0.6884 0.6884 0.0000
0.2500 0.7500 0.5000
0.7500 0.2500 0.5000

***

2) FeAs2S2 PBE-GGA relaxed; symmetry = P4/mbm (127); total magnetic moment = 0.00 μB per formula unit
1.0
6.2913 0.0000 0.0000
0.0000 6.2913 0.0000
0.0000 0.0000 4.5440
Fe As S
2 4 4
Direct
0.0000 0.0000 0.0000
0.5000 0.5000 0.0000
0.1474 0.3526 0.0000
0.3526 0.8526 0.0000
0.6474 0.1474 0.0000
0.8526 0.6474 0.0000
0.2373 0.2627 0.5000
0.2627 0.7627 0.5000
0.7373 0.2373 0.5000
0.7627 0.7373 0.5000

***

Stability check: which of them is least stable? 2).

***

1) FeSb2TeAs PBE-GGA relaxed; symmetry = P4/mmm (123); total magnetic moment = 0.00 μB per formula unit
1.0
4.8027 0.0000 0.0000
0.0000 4.8027 0.0000
0.0000 0.0000 5.2835
Fe Sb Te As
1 2 1 1
Direct
0.0000 0.0000 0.0000
0.0000 0.5000 0.0000
0.5000 0.0000 0.0000
0.0000 0.0000 0.5000
0.5000 0.5000 0.5000

***

2) FeSb2TeAs PBE-GGA relaxed; symmetry = P4/mmm (123); total magnetic moment = 3.27 μB per formula unit
1.0
5.2916 0.0000 0.0000
0.0000 5.2916 0.0000
0.0000 0.0000 5.4574
Fe Sb Te As
1 2 1 1
Direct
0.0000 0.0000 0.0000
0.0000 0.5000 0.5000
0.5000 0.0000 0.5000
0.5000 0.5000 0.0000
0.5000 0.5000 0.5000

***

Stability check: which of them is least stable? 2).

***

1) Sc2Fe2As PBE-GGA relaxed; symmetry = I4/mmm (139); total magnetic moment = 2.95 μB per formula unit
1.0
-2.5238 2.5238 3.4706
2.5238 -2.5238 3.4706
2.5238 2.5238 -3.4706
Sc Fe As
2 2 1
Direct
0.2500 0.7500 0.5000
0.7500 0.2500 0.5000
0.1638 0.1638 0.0000
0.8362 0.8362 0.0000
0.5000 0.5000 0.0000

***

2) Sc2Fe2As PBE-GGA relaxed; symmetry = P4/mbm (127); total magnetic moment = 0.00 μB per formula unit
1.0
6.1188 0.0000 0.0000
0.0000 6.1188 0.0000
0.0000 0.0000 4.1972
Sc Fe As
4 4 2
Direct
0.1797 0.3203 0.0000
0.3203 0.8203 0.0000
0.6797 0.1797 0.0000
0.8203 0.6797 0.0000
0.1231 0.6231 0.5000
0.3769 0.1231 0.5000
0.6231 0.8769 0.5000
0.8769 0.3769 0.5000
0.0000 0.0000 0.5000
0.5000 0.5000 0.5000

***

Stability check: which of them is least stable? 1).

***

1) FeAs3Se PBE-GGA relaxed; symmetry = P-1 (2); total magnetic moment = 1.15 μB per formula unit
1.0
4.3563 0.0000 0.0000
0.1039 4.8067 0.0000
1.9867 2.2241 9.1912
Fe As Se
2 6 2
Direct
0.1290 0.0202 0.2660
0.8710 0.9798 0.7340
0.2321 0.8477 0.5299
0.2330 0.3343 0.0300
0.3141 0.0878 0.8133
0.6859 0.9122 0.1867
0.7670 0.6657 0.9700
0.7679 0.1523 0.4701
0.2575 0.4996 0.3145
0.7425 0.5004 0.6855

***

2) FeAs3Se PBE-GGA relaxed; symmetry = Pm-3m (221); total magnetic moment = 1.06 μB per formula unit
1.0
4.5963 0.0000 0.0000
0.0000 4.5963 0.0000
0.0000 0.0000 4.5963
Fe As Se
1 3 1
Direct
0.0000 0.0000 0.0000
0.0000 0.0000 0.5000
0.0000 0.5000 0.0000
0.5000 0.0000 0.0000
0.5000 0.5000 0.5000

***

Stability check: which of them is least stable? 2).

***

1) FeSiAsSe2 PBE-GGA relaxed; symmetry = P4/mmm (123); total magnetic moment = 0.13 μB per formula unit
1.0
4.7465 0.0000 0.0000
0.0000 4.7465 0.0000
0.0000 0.0000 4.7016
Fe Si As Se
1 1 1 2
Direct
0.0000 0.0000 0.0000
0.5000 0.5000 0.5000
0.5000 0.5000 0.0000
0.0000 0.5000 0.5000
0.5000 0.0000 0.5000

***

2) FeSiAsSe2 PBE-GGA relaxed; symmetry = P4/mmm (123); total magnetic moment = 2.29 μB per formula unit
1.0
4.8569 0.0000 0.0000
0.0000 4.8569 0.0000
0.0000 0.0000 4.4318
Fe Si As Se
1 1 1 2
Direct
0.0000 0.0000 0.0000
0.5000 0.5000 0.5000
0.0000 0.0000 0.5000
0.0000 0.5000 0.0000
0.5000 0.0000 0.0000

***

Stability check: which of them is least stable? 1).

***

1) FeSiAs2Se PBE-GGA relaxed; symmetry = P4/mmm (123); total magnetic moment = 0.00 μB per formula unit
1.0
4.3762 0.0000 0.0000
0.0000 4.3762 0.0000
0.0000 0.0000 5.3208
Fe Si As Se
1 1 2 1
Direct
0.0000 0.0000 0.0000
0.5000 0.5000 0.5000
0.0000 0.5000 0.0000
0.5000 0.0000 0.0000
0.0000 0.0000 0.5000

***

2) FeSiAs2Se PBE-GGA relaxed; symmetry = P4/mmm (123); total magnetic moment = 0.03 μB per formula unit
1.0
4.6924 0.0000 0.0000
0.0000 4.6924 0.0000
0.0000 0.0000 4.6987
Fe Si As Se
1 1 2 1
Direct
0.0000 0.0000 0.0000
0.5000 0.5000 0.5000
0.0000 0.5000 0.5000
0.5000 0.0000 0.5000
0.5000 0.5000 0.0000

***

Stability check: which of them is least stable? 2).